w.
VASP calculation (PBE) on an optimized crystal structure of Pm4Nd5Dy3.

Cell lengths 7.267, 11.500, 13.109 Å; angles 151.29, 56.42, 129.20 degrees
Element x y z (fractional)
Pm: 0.165 0.331 0.166
Nd: 0.751 0.498 0.998
Dy: 0.583 0.166 0.333
Nd: 0.249 0.502 0.002
Pm: 0.916 0.832 0.666
Nd: 0.500 0.000 0.500
Dy: 0.000 0.000 0.500
Nd: 0.334 0.665 0.831
Nd: 0.666 0.335 0.169
Pm: 0.835 0.669 0.834
Pm: 0.084 0.168 0.334
Dy: 0.417 0.834 0.667

## Properties
* crystal system: triclinic

---

x.
VASP calculation (PBE) on an optimized crystal structure of Pm4Nd5Dy3.

Cell lengths 6.014, 8.747, 9.826 Å; angles 106.14, 72.18, 69.89 degrees
Element x y z (fractional)
Dy: 0.481 0.311 0.727
Dy: 0.519 0.689 0.273
Nd: 0.785 0.542 0.888
Pm: 0.859 0.223 0.059
Pm: 0.162 0.055 0.621
Dy: 0.000 0.500 0.500
Pm: 0.838 0.945 0.379
Nd: 0.215 0.458 0.112
Nd: 0.373 0.052 0.202
Pm: 0.141 0.777 0.941
Nd: 0.627 0.948 0.798
Nd: 0.500 0.500 0.500

## Properties
* crystal system: monoclinic

---

Stability check: which of them is least stable? x.

---

w.
VASP calculation (PBE) on an optimized crystal structure of Pm2Nd8Dy3.

Cell lengths 5.741, 7.726, 11.054 Å; angles 110.46, 90.03, 90.00 degrees
Element x y z (fractional)
Nd: 0.500 0.399 0.209
Nd: 0.999 0.131 0.261
Nd: 0.500 0.601 0.791
Dy: 0.000 0.285 0.000
Dy: 0.500 0.000 0.000
Pm: 0.499 0.240 0.480
Dy: 0.000 0.715 0.000
Nd: 0.001 0.671 0.342
Nd: 0.500 0.190 0.791
Pm: 0.501 0.760 0.520
Nd: 0.999 0.329 0.658
Nd: 0.001 0.869 0.739
Nd: 0.500 0.810 0.209

## Properties
* crystal system: monoclinic

---

x.
VASP calculation (PBE) on an optimized crystal structure of Pm2Nd8Dy3.

Cell lengths 6.166, 11.863, 8.964 Å; angles 131.43, 72.38, 90.00 degrees
Element x y z (fractional)
Dy: 0.500 0.000 0.000
Dy: 0.000 0.735 0.000
Nd: 0.341 0.923 0.327
Nd: 0.762 0.416 0.832
Nd: 0.659 0.596 0.673
Nd: 0.902 0.139 0.279
Nd: 0.341 0.404 0.327
Pm: 0.342 0.309 0.618
Nd: 0.098 0.861 0.721
Nd: 0.659 0.077 0.673
Nd: 0.238 0.584 0.168
Dy: 0.000 0.265 0.000
Pm: 0.658 0.691 0.382

## Properties
* crystal system: monoclinic

---

Stability check: which of them is least stable? w.